Entry from Alexandria: a relaxed LiPuPaPd crystal (PBE).

Unit cell a=4.789 b=4.789 c=4.789 alpha=60.00 beta=60.00 gamma=60.00
Positions (direct):
Pa 0.500 0.500 0.500
Pu 0.750 0.750 0.750
Pd 0.250 0.250 0.250
Li 0.000 0.000 0.000

The calculated volume comes out at 77.7 Å³/cell. The total magnetization comes out at 6.07 μB per formula unit. Its formation energy is -0.169 eV per atom. Its symmetry is F-43m (216).

---

Entry from Alexandria: a relaxed As2NF crystal (PBE).

Unit cell a=4.183 b=4.183 c=4.183 alpha=60.00 beta=60.00 gamma=60.00
Positions (direct):
F 0.500 0.500 0.500
As 0.250 0.250 0.250
As 0.750 0.750 0.750
N 0.000 0.000 0.000

The calculated volume comes out at 51.8 Å³/cell. The formation energy from raw total energies comes out at 0.5894 eV/atom. The total magnetization comes out at 0.00 μB per formula unit. As for the energy above the most stable polymorph in this dataset: 492 meV per atom. Its symmetry is Fm-3m (225).

---

Entry from Alexandria: a relaxed La2MgZn4In3 crystal (PBE).

Unit cell a=4.520 b=4.520 c=11.374 alpha=90.00 beta=90.00 gamma=90.00
Positions (direct):
Zn 0.500 0.500 0.000
Zn 0.000 0.500 0.362
Zn 0.000 0.000 0.000
Zn 0.500 0.000 0.638
Mg 0.500 0.500 0.500
In 0.500 0.000 0.867
In 0.000 0.000 0.500
In 0.000 0.500 0.133
La 0.500 0.000 0.241
La 0.000 0.500 0.759

The calculated volume comes out at 232.4 Å³/cell. The total magnetization comes out at 0.00 μB per formula unit. Its formation energy is -0.357 eV per atom. Its symmetry is P-4m2 (115).

---

Entry from Alexandria: a relaxed U2ReC crystal (PBE).

Unit cell a=3.262 b=3.262 c=6.171 alpha=90.00 beta=90.00 gamma=90.00
Positions (direct):
C 0.500 0.500 0.000
U 0.000 0.000 0.794
U 0.000 0.000 0.206
Re 0.500 0.500 0.500

The calculated volume comes out at 65.7 Å³/cell. The total magnetization comes out at 2.13 μB per formula unit. Its formation energy is 0.270 eV per atom. As for the energy above the most stable polymorph in this dataset: 277 meV per atom. Its symmetry is P4/mmm (123).

---

Entry from Alexandria: a relaxed Rb2PaTe6 crystal (PBE).

Unit cell a=4.745 b=10.467 c=10.467 alpha=47.80 beta=90.01 gamma=90.01
Positions (direct):
Pa 0.000 0.000 0.000
Te 0.000 0.990 0.312
Te 0.500 0.771 0.229
Te 0.000 0.010 0.688
Te 0.500 0.229 0.771
Te 0.000 0.688 0.010
Te 0.000 0.312 0.990
Rb 0.500 0.700 0.700
Rb 0.500 0.300 0.300

The calculated volume comes out at 385.1 Å³/cell. The formation energy from raw total energies comes out at -0.6056 eV/atom. The total magnetization comes out at 0.00 μB per formula unit. As for the energy above the most stable polymorph in this dataset: 73 meV per atom. Its symmetry is Cmmm (65).

---

Entry from Alexandria: a relaxed Th4Sb3Au crystal (PBE).

Unit cell a=7.695 b=7.772 c=8.940 alpha=90.00 beta=90.00 gamma=109.45
Positions (direct):
Th 0.507 0.758 0.631
Th 0.493 0.242 0.369
Th 0.501 0.235 0.884
Th 0.001 0.235 0.116
Th 0.007 0.758 0.369
Th 0.499 0.765 0.116
Th 0.999 0.765 0.884
Th 0.993 0.242 0.631
Sb 0.750 0.000 0.374
Sb 0.750 0.500 0.127
Sb 0.250 0.000 0.626
Sb 0.250 0.500 0.873
Sb 0.750 0.500 0.625
Sb 0.250 0.500 0.375
Au 0.250 0.000 0.127
Au 0.750 0.000 0.873

The calculated volume comes out at 504.2 Å³/cell. The formation energy from raw total energies comes out at -0.8060 eV/atom. The total magnetization comes out at 0.00 μB per formula unit. Its symmetry is P2/c (13).

---

Entry from Alexandria: a relaxed NaTbPa2N5 crystal (PBE).

Unit cell a=6.685 b=6.685 c=7.849 alpha=115.21 beta=115.21 gamma=90.00
Positions (direct):
N 0.270 0.770 0.229
N 0.000 0.000 0.000
N 0.230 0.041 0.771
N 0.541 0.730 0.771
N 0.500 0.500 0.000
N 0.959 0.459 0.229
N 0.730 0.230 0.771
N 0.770 0.959 0.229
N 0.041 0.541 0.771
N 0.459 0.270 0.229
Tb 0.250 0.750 0.500
Tb 0.750 0.250 0.500
Na 0.750 0.750 0.500
Na 0.250 0.250 0.500
Pa 0.828 0.672 0.000
Pa 0.672 0.172 0.000
Pa 0.172 0.328 0.000
Pa 0.328 0.828 0.000

The calculated volume comes out at 280.0 Å³/cell. The formation energy from raw total energies comes out at -1.0318 eV/atom. The total magnetization comes out at 0.88 μB per formula unit. Its symmetry is I4/mcm (140).

---

Entry from Alexandria: a relaxed TbICl crystal (PBE).

Unit cell a=3.615 b=3.615 c=7.816 alpha=103.37 beta=103.37 gamma=90.00
Positions (direct):
Cl 0.278 0.278 0.556
Tb 0.675 0.675 0.351
I 0.046 0.046 0.093

The calculated volume comes out at 96.5 Å³/cell. The formation energy from raw total energies comes out at -1.4691 eV/atom. The total magnetization comes out at 0.00 μB per formula unit. As for the energy above the most stable polymorph in this dataset: 102 meV per atom. Its symmetry is I4mm (107).